DFT (PBE) results for an optimized crystal structure of K2PaOs3O12.

Computed properties:
- N(E_F) (states/eV/f.u.) = 5.57
- electronic total energy (eV/cell) = -134.9
- space-group type = R-3m

a = 7.545 Å, b = 7.545 Å, c = 7.545 Å
α = 57.68°, β = 57.68°, γ = 57.68°
Sites, in units of the cell vectors:
Os: 0.000 0.500 0.000
Os: 0.000 0.000 0.500
Os: 0.500 0.000 0.000
O: 0.918 0.918 0.353
O: 0.301 0.926 0.301
O: 0.074 0.699 0.699
O: 0.699 0.074 0.699
O: 0.301 0.301 0.926
O: 0.926 0.301 0.301
O: 0.082 0.647 0.082
O: 0.647 0.082 0.082
O: 0.918 0.353 0.918
O: 0.082 0.082 0.647
O: 0.699 0.699 0.074
O: 0.353 0.918 0.918
K: 0.360 0.360 0.360
K: 0.640 0.640 0.640
Pa: 0.000 0.000 0.000